# VOF2

VOF2 after structural relaxation (PBE with a Hubbard U, Alexandria).

abc: 5.290 5.290 13.344
angles: 90.62 90.62 59.48
Atoms (fractional coordinates):
V1 0.002 0.998 0.500
V2 0.297 0.371 0.334
V3 0.371 0.297 0.834
V4 0.649 0.698 0.165
V5 0.698 0.649 0.665
V6 0.998 0.002 0.000
O1 0.006 0.458 0.261
O2 0.103 0.695 0.429
O3 0.366 0.887 0.086
O4 0.458 0.006 0.761
O5 0.695 0.103 0.929
O6 0.887 0.366 0.586
F1 0.026 0.584 0.753
F2 0.109 0.256 0.928
F3 0.256 0.109 0.428
F4 0.264 0.666 0.919
F5 0.311 0.792 0.602
F6 0.428 0.609 0.262
F7 0.584 0.026 0.253
F8 0.609 0.428 0.762
F9 0.666 0.264 0.419
F10 0.737 0.945 0.589
F11 0.792 0.311 0.102
F12 0.945 0.737 0.089

Results
total energy = -155.896 eV for the cell shown
D(E_F) = 0.00 states/eV/f.u.
symmetry = Cc (9)